No. 1
First-principles (PBE) data for crystalline Pm2TmNi9 at its relaxed geometry, as listed in Alexandria.

Cell: 8.7251 8.7251 8.7251 Å, 33.12 33.12 33.12°
Last column: nearest neighbours and their distance in Å.
Atoms (fractional coordinates):
Pm  0.1378  0.1378  0.1378  12 Ni 2.87-3.20, 3 Pm 3.21
Pm  0.8622  0.8622  0.8622  12 Ni 2.87-3.20, 3 Pm 3.21
Tm  0.0000  0.0000  0.0000  18 Ni 2.87-3.18
Ni  0.0804  0.5797  0.5797  7 Ni 2.43-2.58
Ni  0.3329  0.3329  0.3329  6 Ni 2.43-2.45
Ni  0.4203  0.4203  0.9196  7 Ni 2.43-2.58
Ni  0.4203  0.9196  0.4203  7 Ni 2.43-2.58
Ni  0.5000  0.5000  0.5000  6 Ni 2.58
Ni  0.5797  0.0804  0.5797  7 Ni 2.43-2.58
Ni  0.5797  0.5797  0.0804  7 Ni 2.43-2.58
Ni  0.6671  0.6671  0.6671  6 Ni 2.43-2.45
Ni  0.9196  0.4203  0.4203  7 Ni 2.43-2.58

## Properties
- Size of the total moment: 1.1 μB/cell
- VASP energy: -5.86 eV/atom

No. 2
First-principles (PBE) data for crystalline HfCoGe3 at its relaxed geometry, as listed in Alexandria.

Cell: 5.0905 5.0905 5.0905 Å, 90.00 90.00 90.00°
Last column: nearest neighbours and their distance in Å.
Atoms (fractional coordinates):
Hf  0.0000  0.0000  0.0000  6 Ge 2.55
Co  0.5000  0.5000  0.5000  12 Ge 3.60
Ge  0.0000  0.0000  0.5000  2 Hf 2.55
Ge  0.0000  0.5000  0.0000  2 Hf 2.55
Ge  0.5000  0.0000  0.0000  2 Hf 2.55

## Properties
- Size of the total moment: 0.1 μB/cell
- VASP energy: -4.98 eV/atom

No. 3
First-principles (PBE) data for crystalline TiH2Rh at its relaxed geometry, as listed in Alexandria.

Cell: 5.3672 5.7377 4.8234 Å, 90.00 90.00 90.00°
Last column: nearest neighbours and their distance in Å.
Atoms (fractional coordinates):
Ti  0.1307  0.1143  0.0000  4 H 1.86-1.91
Ti  0.3693  0.6143  0.5000  4 H 1.86-1.91
Ti  0.6307  0.3857  0.0000  4 H 1.86-1.91
Ti  0.8693  0.8857  0.5000  4 H 1.86-1.91
H  0.0520  0.6356  0.3458  2 Rh 1.76-1.79, 2 Ti 1.86-1.89
H  0.0931  0.1248  0.3931  2 Rh 1.77-1.80, 2 Ti 1.90-1.91
H  0.4069  0.6248  0.8931  2 Rh 1.77-1.80, 2 Ti 1.90-1.91
H  0.4480  0.1356  0.8458  2 Rh 1.76-1.79, 2 Ti 1.86-1.89
H  0.5520  0.8644  0.3458  2 Rh 1.76-1.79, 2 Ti 1.86-1.89
H  0.5931  0.3752  0.3931  2 Rh 1.77-1.80, 2 Ti 1.90-1.91
H  0.9069  0.8752  0.8931  2 Rh 1.77-1.80, 2 Ti 1.90-1.91
H  0.9480  0.3644  0.8458  2 Rh 1.76-1.79, 2 Ti 1.86-1.89
Rh  0.0879  0.6230  0.9828  4 H 1.76-1.80
Rh  0.4121  0.1230  0.4828  4 H 1.76-1.80
Rh  0.5879  0.8770  0.9828  4 H 1.76-1.80
Rh  0.9121  0.3770  0.4828  4 H 1.76-1.80

## Properties
- Size of the total moment: 0.0 μB/cell
- Energy above the lowest structure with this stoichiometry: 6 meV per atom

No. 4
First-principles (PBE) data for crystalline Rb2CdRh at its relaxed geometry, as listed in Alexandria.

Cell: 12.0242 12.0242 5.2679 Å, 90.00 90.00 90.00°
Last column: nearest neighbours and their distance in Å.
Atoms (fractional coordinates):
Rb  0.0772  0.2500  0.1250  2 Rh 3.21
Rb  0.2500  0.5772  0.3750  2 Rh 3.21
Rb  0.2500  0.9228  0.8750  2 Rh 3.21
Rb  0.4228  0.2500  0.6250  2 Rh 3.21
Rb  0.5772  0.7500  0.6250  2 Rh 3.21
Rb  0.7500  0.0772  0.8750  2 Rh 3.21
Rb  0.7500  0.4228  0.3750  2 Rh 3.21
Rb  0.9228  0.7500  0.1250  2 Rh 3.21
Cd  0.0000  0.0000  0.5000  2 Rh 2.63
Cd  0.0000  0.5000  0.7500  2 Rh 2.63
Cd  0.5000  0.0000  0.2500  2 Rh 2.63
Cd  0.5000  0.5000  0.0000  2 Rh 2.63
Rh  0.0000  0.0000  0.0000  2 Cd 2.63
Rh  0.0000  0.5000  0.2500  2 Cd 2.63
Rh  0.5000  0.0000  0.7500  2 Cd 2.63
Rh  0.5000  0.5000  0.5000  2 Cd 2.63

## Properties
- Size of the total moment: 0.0 μB/cell
- VASP energy: -2.19 eV/atom

No. 5
First-principles (PBE) data for crystalline InAgCl2 at its relaxed geometry, as listed in Alexandria.

Cell: 7.2936 7.2936 7.2936 Å, 90.00 90.00 90.00°
Last column: nearest neighbours and their distance in Å.
Atoms (fractional coordinates):
In  0.0000  0.0000  0.0000  8 Cl 3.16
In  0.0000  0.5000  0.5000  8 Cl 3.16
In  0.5000  0.0000  0.5000  8 Cl 3.16
In  0.5000  0.5000  0.0000  8 Cl 3.16
Ag  0.0000  0.0000  0.5000  8 Cl 3.16
Ag  0.0000  0.5000  0.0000  8 Cl 3.16
Ag  0.5000  0.0000  0.0000  8 Cl 3.16
Ag  0.5000  0.5000  0.5000  8 Cl 3.16
Cl  0.2500  0.2500  0.2500  4 In 3.16, 4 Ag 3.16
Cl  0.2500  0.2500  0.7500  4 In 3.16, 4 Ag 3.16
Cl  0.2500  0.7500  0.2500  4 In 3.16, 4 Ag 3.16
Cl  0.2500  0.7500  0.7500  4 In 3.16, 4 Ag 3.16
Cl  0.7500  0.2500  0.2500  4 In 3.16, 4 Ag 3.16
Cl  0.7500  0.2500  0.7500  4 In 3.16, 4 Ag 3.16
Cl  0.7500  0.7500  0.2500  4 In 3.16, 4 Ag 3.16
Cl  0.7500  0.7500  0.7500  4 In 3.16, 4 Ag 3.16

## Properties
- Size of the total moment: 0.0 μB/cell
- Raw formation energy: -448.4 meV/atom

No. 6
First-principles (PBE) data for crystalline Y8OsPt2 at its relaxed geometry, as listed in Alexandria.

Cell: 7.6156 7.6156 5.9917 Å, 100.68 100.68 112.39°
Last column: nearest neighbours and their distance in Å.
Atoms (fractional coordinates):
Y  0.0000  0.0000  0.0000  1 Os 3.00, 2 Pt 3.03
Y  0.0240  0.2783  0.5687  2 Pt 2.87-2.89, 1 Os 2.96
Y  0.1391  0.5626  0.1787  1 Os 2.86
Y  0.2783  0.0240  0.5687  2 Pt 2.87-2.89, 1 Os 2.96
Y  0.4321  0.6871  0.7656  2 Pt 2.85, 1 Os 3.03
Y  0.5626  0.1391  0.1787  1 Os 2.86
Y  0.6871  0.4321  0.7656  2 Pt 2.85, 1 Os 3.03
Y  0.7064  0.7064  0.3559  1 Os 2.99, 2 Pt 3.05
Os  0.3505  0.3505  0.3434  8 Y 2.86-3.03
Pt  0.0446  0.6723  0.6787  6 Y 2.85-3.05
Pt  0.6723  0.0446  0.6787  6 Y 2.85-3.05

## Properties
- Size of the total moment: 0.0 μB/cell
- VASP energy: -7.28 eV/atom